[1]
LiPrSn | the Alexandria database | GGA-PBE | optimized geometry; ΔE_f = -145 kJ/mol of formula units; crystal system = cubic; magnetization = 0.00 μB/atom; SG = F-43m
1.0
0.000 3.387 3.387
3.387 0.000 3.387
3.387 3.387 0.000
Li Pr Sn
1 1 1
Direct
0.000 0.000 0.000
0.250 0.250 0.250
0.750 0.750 0.750

[2]
Li3PrSn3 | the Alexandria database | GGA-PBE | optimized geometry; ΔE_f = 61 kJ/mol of formula units; crystal system = cubic; magnetization = 0.00 μB/atom; SG = Pm-3n
1.0
7.138 0.000 0.000
0.000 7.138 0.000
0.000 0.000 7.138
Li Pr Sn
6 2 6
Direct
0.000 0.250 0.500
0.000 0.750 0.500
0.250 0.500 0.000
0.500 0.000 0.250
0.500 0.000 0.750
0.750 0.500 0.000
0.000 0.000 0.000
0.500 0.500 0.500
0.000 0.500 0.250
0.000 0.500 0.750
0.250 0.000 0.500
0.500 0.250 0.000
0.500 0.750 0.000
0.750 0.000 0.500

[3]
LiPr4Sn8 | the Alexandria database | GGA-PBE | optimized geometry; ΔE_f = -792 kJ/mol of formula units; crystal system = orthorhombic; magnetization = 0.00 μB/atom; SG = Pmm2
1.0
4.455 0.000 0.000
0.000 4.553 0.000
0.000 0.000 17.624
Li Pr Sn
1 4 8
Direct
0.000 0.000 0.000
0.000 0.000 0.775
0.000 0.500 0.289
0.500 0.000 0.577
0.500 0.500 0.078
0.000 0.000 0.145
0.000 0.000 0.432
0.000 0.500 0.615
0.000 0.500 0.917
0.500 0.000 0.255
0.500 0.000 0.916
0.500 0.500 0.437
0.500 0.500 0.729